(1)
Entry from Alexandria via LeMat-Bulk: an optimized crystal structure of Ti3CO (PBE).

abc: 4.128 4.128 4.128
angles: 90.00 90.00 90.00
Fractional positions:
Ti  0.500  0.000  0.000
Ti  0.000  0.500  0.000
Ti  0.000  0.000  0.500
O  0.500  0.500  0.500
C  0.000  0.000  0.000

Output
magnetic moment: 2.2 μB per formula unit
SG: No. 221
energy above the lowest structure with this stoichiometry: 1312 meV per atom
uncorrected formation energy: -111 meV/atom



(2)
Entry from Alexandria via LeMat-Bulk: an optimized crystal structure of ZrTi2Bi2 (PBE).

abc: 7.853 7.853 3.599
angles: 90.00 90.00 90.00
Fractional positions:
Zr  0.000  0.000  0.000
Zr  0.500  0.500  0.000
Bi  0.349  0.849  0.000
Bi  0.651  0.151  0.000
Bi  0.151  0.349  0.000
Bi  0.849  0.651  0.000
Ti  0.143  0.643  0.500
Ti  0.857  0.357  0.500
Ti  0.643  0.857  0.500
Ti  0.357  0.143  0.500

Output
ΔH_f (0 K): -9 kJ per mole of atoms
magnetic moment: 0.0 μB per formula unit
SG: No. 127
energy above the lowest structure with this stoichiometry: 0 meV per atom



(3)
Entry from Alexandria via LeMat-Bulk: an optimized crystal structure of SiGeAu2 (PBE).

abc: 4.684 4.684 4.684
angles: 60.00 60.00 60.00
Fractional positions:
Au  0.750  0.750  0.750
Au  0.250  0.250  0.250
Si  0.000  0.000  0.000
Ge  0.500  0.500  0.500

Output
magnetic moment: 0.0 μB per formula unit
SG: No. 225
energy above the lowest structure with this stoichiometry: 163 meV per atom
uncorrected formation energy: 244 meV/atom



(4)
Entry from Alexandria via LeMat-Bulk: an optimized crystal structure of NiPd2Se4 (PBE).

abc: 4.877 4.877 6.959
angles: 69.49 69.49 90.00
Fractional positions:
Pd  0.611  0.611  0.778
Pd  0.389  0.389  0.222
Ni  0.000  0.000  0.000
Se  0.809  0.809  0.382
Se  0.000  0.500  0.000
Se  0.191  0.191  0.618
Se  0.500  0.000  0.000

Output
magnetic moment: 0.0 μB per formula unit
SG: No. 139
uncorrected formation energy: 191 meV/atom



(5)
Entry from Alexandria via LeMat-Bulk: an optimized crystal structure of HfPt3I (PBE).

abc: 5.019 5.019 5.019
angles: 90.00 90.00 90.00
Fractional positions:
Hf  0.000  0.000  0.000
Pt  0.500  0.000  0.000
Pt  0.000  0.000  0.500
Pt  0.000  0.500  0.000
I  0.500  0.500  0.500

Output
magnetic moment: 0.0 μB per formula unit
SG: No. 221
energy above the lowest structure with this stoichiometry: 0 meV per atom
uncorrected formation energy: 725 meV/atom



(6)
Entry from Alexandria via LeMat-Bulk: an optimized crystal structure of YSc2Pt (PBE).

abc: 4.919 4.919 4.919
angles: 60.00 60.00 60.00
Fractional positions:
Pt  0.500  0.500  0.500
Sc  0.250  0.250  0.250
Sc  0.750  0.750  0.750
Y  0.000  0.000  0.000

Output
ΔH_f (0 K): -36 kJ per mole of atoms
magnetic moment: 1.3 μB per formula unit
SG: No. 225
energy above the lowest structure with this stoichiometry: 330 meV per atom



Which of these has the highest magnetic moment? Ti3CO



Which of these has the highest magnetic moment? Ti3CO